# 1
A geometry-optimized ZrP2 structure. Source: OQMD via LeMat-Bulk, functional GGA-PBE.

Properties
Space-group type   Fd-3m, No. 227

Unit cell a=8.091 b=8.091 c=8.091 alpha=60.00 beta=60.00 gamma=60.00
Positions (direct):
P1 0.875 0.375 0.375
P2 0.375 0.875 0.375
P3 0.375 0.375 0.375
P4 0.375 0.375 0.875
Zr1 0.250 0.250 0.250
Zr2 0.500 0.500 0.500

---

# 2
A geometry-optimized Zr2P structure. Source: OQMD via LeMat-Bulk, functional GGA-PBE.

Properties
Space-group type   Fd-3m, No. 227

Unit cell a=5.601 b=5.601 c=5.601 alpha=60.00 beta=60.00 gamma=60.00
Positions (direct):
P1 0.000 0.000 0.000
P2 0.250 0.250 0.250
Zr1 0.625 0.625 0.125
Zr2 0.625 0.125 0.625
Zr3 0.125 0.625 0.625
Zr4 0.625 0.625 0.625

---

# 3
A geometry-optimized Zr3P4 structure. Source: OQMD via LeMat-Bulk, functional GGA-PBE.

Properties
Space-group type   C2/m, No. 12
Offset from the most stable computed form   191 meV per atom

Unit cell a=7.319 b=7.319 c=6.563 alpha=116.22 beta=116.22 gamma=29.35
Positions (direct):
P1 0.370 0.370 0.023
P2 0.124 0.124 0.444
P3 0.876 0.876 0.556
P4 0.630 0.630 0.977
Zr1 0.000 0.000 0.000
Zr2 0.262 0.262 0.269
Zr3 0.738 0.738 0.731

---

# 4
A geometry-optimized ZrP structure. Source: OQMD via LeMat-Bulk, functional GGA-PBE.

Properties
Space-group type   Fm-3m, No. 225

Unit cell a=3.749 b=3.749 c=3.749 alpha=120.00 beta=90.00 gamma=120.00
Positions (direct):
P1 0.000 0.000 0.000
Zr1 0.500 0.000 0.500

---

# 5
A geometry-optimized Zr3P2 structure. Source: OQMD via LeMat-Bulk, functional GGA-PBE.

Properties
Space-group type   Pnma, No. 62

Unit cell a=10.291 b=3.674 c=9.949 alpha=90.00 beta=90.00 gamma=90.00
Positions (direct):
P1 0.193 0.250 0.000
P2 0.807 0.750 0.000
P3 0.476 0.750 0.181
P4 0.976 0.750 0.319
P5 0.693 0.250 0.500
P6 0.307 0.750 0.500
P7 0.024 0.250 0.681
P8 0.524 0.250 0.819
Zr1 0.622 0.250 0.064
Zr2 0.954 0.250 0.126
Zr3 0.218 0.750 0.202
Zr4 0.718 0.750 0.298
Zr5 0.454 0.250 0.374
Zr6 0.122 0.250 0.436
Zr7 0.878 0.750 0.564
Zr8 0.546 0.750 0.626
Zr9 0.282 0.250 0.702
Zr10 0.782 0.250 0.798
Zr11 0.046 0.750 0.874
Zr12 0.378 0.750 0.936

---

# 6
A geometry-optimized ZrP4 structure. Source: OQMD via LeMat-Bulk, functional GGA-PBE.

Properties
Space-group type   C2/c, No. 15

Unit cell a=6.612 b=6.612 c=6.266 alpha=99.06 beta=99.06 gamma=130.80
Positions (direct):
P1 0.052 0.510 0.185
P2 0.385 0.181 0.186
P3 0.819 0.615 0.314
P4 0.490 0.948 0.315
P5 0.510 0.052 0.685
P6 0.181 0.385 0.686
P7 0.615 0.819 0.814
P8 0.948 0.490 0.815
Zr1 0.939 0.061 0.250
Zr2 0.061 0.939 0.750

---

# 7
A geometry-optimized ZrP structure. Source: OQMD via LeMat-Bulk, functional GGA-PBE.

Properties
Space-group type   Pmma, No. 51

Unit cell a=5.640 b=5.026 c=5.153 alpha=90.00 beta=90.00 gamma=90.00
Positions (direct):
P1 0.750 0.500 0.037
P2 0.250 0.000 0.301
P3 0.750 0.000 0.699
P4 0.250 0.500 0.963
Zr1 0.750 0.000 0.203
Zr2 0.000 0.500 0.500
Zr3 0.500 0.500 0.500
Zr4 0.250 0.000 0.797

---

# 8
A geometry-optimized Zr2P structure. Source: OQMD via LeMat-Bulk, functional GGA-PBE.

Properties
Space-group type   Fd-3m, No. 227

Unit cell a=8.023 b=8.023 c=8.023 alpha=60.00 beta=60.00 gamma=60.00
Positions (direct):
P1 0.250 0.250 0.250
P2 0.500 0.500 0.500
Zr1 0.875 0.375 0.375
Zr2 0.375 0.875 0.375
Zr3 0.375 0.375 0.375
Zr4 0.375 0.375 0.875

---

# 9
A geometry-optimized ZrP structure. Source: OQMD via LeMat-Bulk, functional GGA-PBE.

Properties
Space-group type   F-43m, No. 216

Unit cell a=4.143 b=4.143 c=4.143 alpha=60.00 beta=60.00 gamma=60.00
Positions (direct):
P1 0.000 0.000 0.000
Zr1 0.250 0.250 0.250

---

# 10
A geometry-optimized Zr2P structure. Source: OQMD via LeMat-Bulk, functional GGA-PBE.

Properties
Space-group type   Cmmm, No. 65

Unit cell a=17.625 b=17.625 c=3.631 alpha=90.00 beta=90.00 gamma=114.26
Positions (direct):
P1 0.373 0.039 0.000
P2 0.608 0.178 0.000
P3 0.039 0.373 0.000
P4 0.822 0.392 0.000
P5 0.178 0.608 0.000
P6 0.961 0.627 0.000
P7 0.392 0.822 0.000
P8 0.627 0.961 0.000
P9 0.208 0.082 0.500
P10 0.845 0.155 0.500
P11 0.082 0.208 0.500
P12 0.420 0.282 0.500
P13 0.282 0.420 0.500
P14 0.718 0.580 0.500
P15 0.580 0.718 0.500
P16 0.918 0.792 0.500
P17 0.155 0.845 0.500
P18 0.792 0.918 0.500
Zr1 0.500 0.000 0.000
Zr2 0.789 0.031 0.000
Zr3 0.107 0.107 0.000
Zr4 0.331 0.166 0.000
Zr5 0.969 0.211 0.000
Zr6 0.779 0.221 0.000
Zr7 0.538 0.300 0.000
Zr8 0.166 0.331 0.000
Zr9 0.385 0.385 0.000
Zr10 0.700 0.462 0.000
Zr11 0.000 0.500 0.000
Zr12 0.300 0.538 0.000
Zr13 0.615 0.615 0.000
Zr14 0.834 0.669 0.000
Zr15 0.462 0.700 0.000
Zr16 0.221 0.779 0.000
Zr17 0.031 0.789 0.000
Zr18 0.669 0.834 0.000
Zr19 0.893 0.893 0.000
Zr20 0.211 0.969 0.000
Zr21 0.942 0.058 0.500
Zr22 0.654 0.086 0.500
Zr23 0.481 0.141 0.500
Zr24 0.251 0.251 0.500
Zr25 0.692 0.308 0.500
Zr26 0.914 0.346 0.500
Zr27 0.553 0.447 0.500
Zr28 0.141 0.481 0.500
Zr29 0.859 0.519 0.500
Zr30 0.447 0.553 0.500
Zr31 0.086 0.654 0.500
Zr32 0.308 0.692 0.500
Zr33 0.749 0.749 0.500
Zr34 0.519 0.859 0.500
Zr35 0.346 0.914 0.500
Zr36 0.058 0.942 0.500

---

# 11
A geometry-optimized Zr3P4 structure. Source: OQMD via LeMat-Bulk, functional GGA-PBE.

Properties
Space-group type   I-43d, No. 220
Offset from the most stable computed form   0 meV per atom

Unit cell a=6.835 b=6.835 c=6.835 alpha=109.47 beta=109.47 gamma=109.47
Positions (direct):
P1 0.338 0.500 0.000
P2 0.838 0.500 0.000
P3 0.162 0.162 0.162
P4 0.500 0.000 0.338
P5 0.000 0.338 0.500
P6 0.000 0.838 0.500
P7 0.662 0.662 0.662
P8 0.500 0.000 0.838
Zr1 0.750 0.875 0.125
Zr2 0.625 0.375 0.250
Zr3 0.250 0.625 0.375
Zr4 0.375 0.250 0.625
Zr5 0.875 0.125 0.750
Zr6 0.125 0.750 0.875

---

# 12
A geometry-optimized ZrP2 structure. Source: OQMD via LeMat-Bulk, functional GGA-PBE.

Properties
Space-group type   Fd-3m, No. 227

Unit cell a=5.161 b=5.161 c=5.161 alpha=60.00 beta=60.00 gamma=60.00
Positions (direct):
P1 0.625 0.625 0.125
P2 0.625 0.125 0.625
P3 0.125 0.625 0.625
P4 0.625 0.625 0.625
Zr1 0.000 0.000 0.000
Zr2 0.250 0.250 0.250

---

# 13
A geometry-optimized Pa2Pd2Pb structure. Source: OQMD via LeMat-Bulk, functional GGA-PBE.

Properties
Space-group type   P4/mbm, No. 127

Unit cell a=7.810 b=7.810 c=3.748 alpha=90.00 beta=90.00 gamma=90.00
Positions (direct):
Pa1 0.327 0.173 0.500
Pa2 0.827 0.327 0.500
Pa3 0.173 0.673 0.500
Pa4 0.673 0.827 0.500
Pb1 0.000 0.000 0.000
Pb2 0.500 0.500 0.000
Pd1 0.627 0.127 0.000
Pd2 0.127 0.373 0.000
Pd3 0.873 0.627 0.000
Pd4 0.373 0.873 0.000

---

# 14
A geometry-optimized PrPaPb structure. Source: OQMD via LeMat-Bulk, functional GGA-PBE.

Properties
Space-group type   F-43m, No. 216
Offset from the most stable computed form   0 meV per atom

Unit cell a=5.291 b=5.291 c=5.291 alpha=60.00 beta=60.00 gamma=60.00
Positions (direct):
Pa1 0.250 0.250 0.250
Pb1 0.000 0.000 0.000
Pr1 0.750 0.750 0.750

---

# 15
A geometry-optimized PaRePb structure. Source: OQMD via LeMat-Bulk, functional GGA-PBE.

Properties
Space-group type   F-43m, No. 216

Unit cell a=4.859 b=4.859 c=4.859 alpha=60.00 beta=60.00 gamma=60.00
Positions (direct):
Pa1 0.000 0.000 0.000
Pb1 0.250 0.250 0.250
Re1 0.750 0.750 0.750

---

# 16
A geometry-optimized Pa2RePb structure. Source: OQMD via LeMat-Bulk, functional GGA-PBE.

Properties
Space-group type   P4/mmm, No. 123

Unit cell a=3.259 b=3.259 c=8.941 alpha=90.00 beta=90.00 gamma=90.00
Positions (direct):
Pa1 0.000 0.000 0.207
Pa2 0.000 0.000 0.793
Pb1 0.500 0.500 0.500
Re1 0.500 0.500 0.000

---

# 17
A geometry-optimized PaRePb structure. Source: OQMD via LeMat-Bulk, functional GGA-PBE.

Properties
Space-group type   F-43m, No. 216

Unit cell a=4.741 b=4.741 c=4.741 alpha=60.00 beta=60.00 gamma=60.00
Positions (direct):
Pa1 0.750 0.750 0.750
Pb1 0.250 0.250 0.250
Re1 0.000 0.000 0.000

---

# 18
A geometry-optimized ScPaPb structure. Source: OQMD via LeMat-Bulk, functional GGA-PBE.

Properties
Space-group type   F-43m, No. 216
Offset from the most stable computed form   0 meV per atom

Unit cell a=5.088 b=5.088 c=5.088 alpha=60.00 beta=60.00 gamma=60.00
Positions (direct):
Pa1 0.250 0.250 0.250
Pb1 0.000 0.000 0.000
Sc1 0.750 0.750 0.750

---

# 19
A geometry-optimized ScPaPb structure. Source: OQMD via LeMat-Bulk, functional GGA-PBE.

Properties
Space-group type   F-43m, No. 216
Offset from the most stable computed form   373 meV per atom

Unit cell a=5.185 b=5.185 c=5.185 alpha=60.00 beta=60.00 gamma=60.00
Positions (direct):
Pa1 0.000 0.000 0.000
Pb1 0.250 0.250 0.250
Sc1 0.750 0.750 0.750

---

# 20
A geometry-optimized SrPaPb structure. Source: OQMD via LeMat-Bulk, functional GGA-PBE.

Properties
Space-group type   F-43m, No. 216

Unit cell a=5.366 b=5.366 c=5.366 alpha=60.00 beta=60.00 gamma=60.00
Positions (direct):
Pa1 0.000 0.000 0.000
Pb1 0.500 0.500 0.500
Sr1 0.250 0.250 0.250

---

# 21
A geometry-optimized PaTaPb structure. Source: OQMD via LeMat-Bulk, functional GGA-PBE.

Properties
Space-group type   F-43m, No. 216
Offset from the most stable computed form   0 meV per atom

Unit cell a=4.896 b=4.896 c=4.896 alpha=60.00 beta=60.00 gamma=60.00
Positions (direct):
Pa1 0.500 0.500 0.500
Pb1 0.250 0.250 0.250
Ta1 0.000 0.000 0.000

---

# 22
A geometry-optimized PaTaPb structure. Source: OQMD via LeMat-Bulk, functional GGA-PBE.

Properties
Space-group type   F-43m, No. 216
Offset from the most stable computed form   306 meV per atom

Unit cell a=5.002 b=5.002 c=5.002 alpha=60.00 beta=60.00 gamma=60.00
Positions (direct):
Pa1 0.000 0.000 0.000
Pb1 0.250 0.250 0.250
Ta1 0.750 0.750 0.750

---

# 23
A geometry-optimized PaTc2Pb2 structure. Source: OQMD via LeMat-Bulk, functional GGA-PBE.

Properties
Space-group type   I4/mmm, No. 139

Unit cell a=6.588 b=6.588 c=6.588 alpha=140.59 beta=140.59 gamma=56.96
Positions (direct):
Pa1 0.000 0.000 0.000
Pb1 0.379 0.379 0.000
Pb2 0.621 0.621 0.000
Tc1 0.750 0.250 0.500
Tc2 0.250 0.750 0.500

---

# 24
A geometry-optimized PaTePb structure. Source: OQMD via LeMat-Bulk, functional GGA-PBE.

Properties
Space-group type   F-43m, No. 216
Offset from the most stable computed form   0 meV per atom

Unit cell a=5.199 b=5.199 c=5.199 alpha=60.00 beta=60.00 gamma=60.00
Positions (direct):
Pa1 0.000 0.000 0.000
Pb1 0.250 0.250 0.250
Te1 0.750 0.750 0.750

---

# 25
A geometry-optimized PaTePb structure. Source: OQMD via LeMat-Bulk, functional GGA-PBE.

Properties
Space-group type   F-43m, No. 216
Offset from the most stable computed form   146 meV per atom

Unit cell a=5.143 b=5.143 c=5.143 alpha=60.00 beta=60.00 gamma=60.00
Positions (direct):
Pa1 0.250 0.250 0.250
Pb1 0.750 0.750 0.750
Te1 0.000 0.000 0.000

---

One value per record, in order, for total magnetic moment: 0.04; 0.01; 0.01; 0.00; 0.01; 0.00; 0.00; 8.14; 0.01; 0.03; 0.01; 0.01; 0.01; 2.05; 0.00; 0.00; 0.03; 2.80; 3.60; 2.94; 0.01; 1.77; 0.46; 0.57; 1.00 Bohr magnetons per cell.
One value per record, in order, for uncorrected energy: -5.977; -7.186; -7.647; -8.310; -8.543; -6.439; -7.720; -6.108; -7.635; -8.581; -7.838; -6.473; -7.046; -5.608; -7.371; -8.901; -8.136; -6.060; -5.687; -3.927; -7.335; -7.029; -6.847; -5.468; -5.323 eV/atom.